Entry from the Alexandria database: Ni3PtO6 after structural relaxation (PBE with a Hubbard U).

```
Ni3PtO6
1.0
-1.360 -2.780 -4.136
-2.310 -3.496 3.109
-6.577 3.875 -0.529
Ni Pt O
6 2 12
Direct
0.502 0.945 0.795
0.500 0.500 0.000
0.498 0.055 0.205
0.002 0.555 0.295
0.000 0.000 0.500
0.998 0.445 0.705
0.500 0.500 0.500
0.000 0.000 0.000
0.666 0.176 0.963
0.688 0.199 0.610
0.643 0.399 0.267
0.357 0.601 0.733
0.312 0.801 0.390
0.334 0.824 0.037
0.166 0.324 0.463
0.188 0.301 0.110
0.143 0.101 0.767
0.857 0.899 0.233
0.812 0.699 0.890
0.834 0.676 0.537
```

* space group: No. 14
* spin magnetization: 8.0 μB per cell
* energy above the lowest structure with this stoichiometry: 0.0714 eV/atom